No. 1
MnCoTcP (PBE, optimized geometry); theoretical density = 8.3 g/cm³; VASP energy = -8.22 eV/atom; energy of formation = -0.84 eV/f.u.; size of the total moment = 4.00 Bohr magnetons per cell
1.0
4.0891 0.0000 0.0000
2.0446 3.5413 0.0000
2.0446 1.1804 3.3388
P Mn Co Tc
1 1 1 1
Direct
0.0000 0.0000 0.0000
0.5000 0.5000 0.5000
0.2500 0.2500 0.2500
0.7500 0.7500 0.7500

=====

No. 2
Th2MnCo4P3 (PBE, optimized geometry); theoretical density = 9.5 g/cm³; VASP energy = -7.73 eV/atom; energy of formation = -8.64 eV/f.u.; size of the total moment = 2.51 Bohr magnetons per cell
1.0
-3.3409 -0.0312 2.1249
-1.9161 -1.6679 -3.0371
2.1930 -8.5689 3.3222
Th Mn Co P
2 1 4 3
Direct
0.5000 0.0000 0.2470
0.0000 0.5000 0.7530
0.5000 0.5000 0.5000
0.5000 0.5000 0.0000
0.0000 0.0000 0.0000
0.5000 0.0000 0.6221
0.0000 0.5000 0.3779
0.0000 0.0000 0.5000
0.5000 0.0000 0.8714
0.0000 0.5000 0.1286

=====

Question: energy of formation of number 1 (MnCoTcP)?
Answer: -0.84 eV/f.u.